First-principles (GGA-PBE) data for a relaxed structure of Ac7Tl2Ga2, as listed in Alexandria.

a = 8.225 Å, b = 12.057 Å, c = 8.614 Å
α = 90.00°, β = 90.00°, γ = 90.00°
Space group Cmmm (No. 65)
Symmetry-distinct sites (fractional):
Ac 0.000 0.000 0.000 x2
Ac 0.000 0.500 0.277 x4
Ac 0.250 0.250 0.297 x8
Tl 0.000 0.299 0.000 x4
Ga 0.158 0.000 0.500 x4

Computed properties:
Spin magnetization in μB/cell: 0.0
Calculated volume in Å³/cell: 854
Formation energy from the elements in eV per atom: -0.048
Energy in eV per atom: -3.64